# 1
# PBE HoGa2Pd2, optimized geometry
# **Total DFT energy (no corrections)**: -4.961 eV/atom
# **Energy relative to the elements**: -758 meV/atom
# **V**: 184.53 Å³/cell
# **Density**: 9309 kg/m³
# **Total magnetization**: 0.000 μB per formula unit
# **DOS at the Fermi energy**: 7.00 states/eV/cell
data_HoGa2Pd2
_chemical_formula_sum 'Ho2 Ga4 Pd4'
_cell_length_a 4.162
_cell_length_b 4.162
_cell_length_c 10.651
_cell_angle_alpha 90.00
_cell_angle_beta 90.00
_cell_angle_gamma 90.00
_space_group_name_H-M_alt 'I 4/m m m'
_space_group_IT_number 139
_space_group_name_Hall '-I 4 2'
loop_
_atom_site_label
_atom_site_type_symbol
_atom_site_fract_x
_atom_site_fract_y
_atom_site_fract_z
_atom_site_occupancy
Ho1 Ho 0.000 0.000 0.000 1
Ga1 Ga 0.000 0.000 0.383 1
Pd1 Pd 0.000 0.500 0.250 1

***

# 2
# PBE PmSm8Er6, optimized geometry
# **Total DFT energy (no corrections)**: -4.528 eV/atom
# **Energy relative to the elements**: 131 meV/atom
# **V**: 1479.44 Å³/cell
# **Density**: 7918 kg/m³
# **Total magnetization**: 0.000 μB per formula unit
# **DOS at the Fermi energy**: 67.83 states/eV/cell
data_PmSm8Er6
_chemical_formula_sum 'Pm3 Sm24 Er18'
_cell_length_a 9.0637
_cell_length_b 9.0637
_cell_length_c 20.7946
_cell_angle_alpha 90.00
_cell_angle_beta 90.00
_cell_angle_gamma 120.00
_space_group_name_H-M_alt 'R -3'
_space_group_IT_number 148
_space_group_name_Hall '-R 3'
loop_
_atom_site_label
_atom_site_type_symbol
_atom_site_fract_x
_atom_site_fract_y
_atom_site_fract_z
_atom_site_occupancy
Pm1 Pm 0.0000 0.0000 0.0000 1
Sm1 Sm 0.0000 0.0000 0.4227 1
Sm2 Sm 0.0808 0.5560 0.8070 1
Er1 Er 0.0483 0.2431 0.7059 1

***

# 3
# PBE Mo2RhAu, optimized geometry
# **Total DFT energy (no corrections)**: -8.033 eV/atom
# **Energy relative to the elements**: 40 meV/atom
# **V**: 62.84 Å³/cell
# **Density**: 12995 kg/m³
# **Offset from the most stable computed form**: 0.000 eV per atom
# **Total magnetization**: 0.000 μB per formula unit
# **DOS at the Fermi energy**: 3.51 states/eV/cell
data_Mo2RhAu
_chemical_formula_sum 'Mo2 Rh1 Au1'
_cell_length_a 2.759
_cell_length_b 4.123
_cell_length_c 5.524
_cell_angle_alpha 90.00
_cell_angle_beta 90.00
_cell_angle_gamma 90.00
_space_group_name_H-M_alt 'P m m m'
_space_group_IT_number 47
loop_
_space_group_symop_operation_xyz
'x,y,z'
'-x,-y,-z'
'-x,-y,z'
'x,y,-z'
'x,-y,-z'
'-x,y,z'
'-x,y,-z'
'x,-y,z'
loop_
_atom_site_label
_atom_site_type_symbol
_atom_site_fract_x
_atom_site_fract_y
_atom_site_fract_z
_atom_site_occupancy
Mo1 Mo 0.000 0.000 0.232 1
Rh1 Rh 0.500 0.500 0.000 1
Au1 Au 0.500 0.500 0.500 1

***

# 4
# PBE PmSmY2Er, optimized geometry
# **Total DFT energy (no corrections)**: -4.988 eV/atom
# **Energy relative to the elements**: 404 meV/atom
# **V**: 699.45 Å³/cell
# **Density**: 6082 kg/m³
# **Total magnetization**: 0.000 μB per formula unit
# **DOS at the Fermi energy**: 35.17 states/eV/cell
data_PmSmY2Er
_chemical_formula_sum 'Pm4 Sm4 Y8 Er4'
_cell_length_a 8.455
_cell_length_b 11.502
_cell_length_c 7.192
_cell_angle_alpha 90.00
_cell_angle_beta 90.00
_cell_angle_gamma 90.00
_space_group_name_H-M_alt 'C m c m'
_space_group_IT_number 63
_space_group_name_Hall '-C 2c 2'
loop_
_atom_site_label
_atom_site_type_symbol
_atom_site_fract_x
_atom_site_fract_y
_atom_site_fract_z
_atom_site_occupancy
Pm1 Pm 0.000 0.004 0.250 1
Sm1 Sm 0.000 0.272 0.250 1
Y1 Y 0.188 0.500 0.000 1
Er1 Er 0.000 0.275 0.750 1